Record 1
Density functional theory data (PBE) for a relaxed TbYSeN crystal.

For the raw formation energy, the calculation gives -1.71 eV per atom. The density comes out at 7362 kg/m³. The total magnetic moment comes out at 0.0 μB/f.u.

It has space group R3m (No. 160, hexagonal axes), with a = 3.6852 Å, b = 3.6852 Å, c = 19.6070 Å, α = 90.00°, β = 90.00° and γ = 120.00°. Symmetry generates all atoms from Tb at (0.0000, 0.0000, 0.0000), Y at (0.0000, 0.0000, 0.5341), Se at (0.0000, 0.0000, 0.7674) and N at (0.0000, 0.0000, 0.2669).

Record 2
Density functional theory data (PBE) for a relaxed Ca3P2Pb crystal.

The value obtained for the formation enthalpy at 0 K is -0.511 eV per atom. The density comes out at 3519 kg/m³. The total magnetic moment comes out at 0.0 μB/f.u.

It has space group Cmcm (No. 63), with a = 10.000 Å, b = 16.271 Å, c = 4.517 Å, α = 90.00°, β = 90.00° and γ = 90.00°. Symmetry generates all atoms from Ca at (0.000, 0.102, 0.250), Ca at (0.195, 0.345, 0.250), P at (0.216, 0.000, 0.000) and Pb at (0.000, 0.253, 0.750).

Number 1: final energy -7.433 eV/atom. Number 2: final energy -3.933 eV/atom.